A relaxed Rb2PaCo2O6 crystal. Source: Alexandria, functional PBE with a Hubbard U.

Lattice parameters (Å, degrees): 6.1570 6.1570 7.0591 115.42 115.42 59.54
Fractional coordinates of all 11 atoms:
Rb: 0.2114 0.2114 0.1373
Rb: 0.7886 0.7886 0.8627
Pa: 0.0000 0.0000 0.5000
Co: 0.4095 0.4095 0.7230
Co: 0.5905 0.5905 0.2770
O: 0.2351 0.2351 0.7045
O: 0.2438 0.7509 0.7224
O: 0.2491 0.7562 0.2776
O: 0.7509 0.2438 0.7224
O: 0.7562 0.2491 0.2776
O: 0.7649 0.7649 0.2955

Computed properties:
Total energy, eV/atom: -6.6353

---

A relaxed Rb2PaCo3O12 crystal. Source: Alexandria, functional PBE with a Hubbard U.

Lattice parameters (Å, degrees): 7.3350 7.3350 7.3350 56.38 56.38 56.38
Fractional coordinates of all 18 atoms:
Rb: 0.1123 0.1123 0.1123
Rb: 0.8877 0.8877 0.8877
Pa: 0.5000 0.5000 0.5000
Co: 0.0000 0.5000 0.5000
Co: 0.5000 0.0000 0.5000
Co: 0.5000 0.5000 0.0000
O: 0.1454 0.5746 0.5746
O: 0.1850 0.1850 0.5857
O: 0.1850 0.5857 0.1850
O: 0.4143 0.8151 0.8150
O: 0.4254 0.4254 0.8546
O: 0.4254 0.8546 0.4254
O: 0.5746 0.1454 0.5746
O: 0.5746 0.5746 0.1454
O: 0.5857 0.1850 0.1850
O: 0.8150 0.4143 0.8150
O: 0.8150 0.8150 0.4143
O: 0.8546 0.4254 0.4254

Computed properties:
Total energy, eV/atom: -5.9076

---

A relaxed PaCo2RhO6 crystal. Source: Alexandria, functional PBE with a Hubbard U.

Lattice parameters (Å, degrees): 5.3491 5.3499 5.7305 62.36 62.58 60.13
Fractional coordinates of all 10 atoms:
Pa: 0.0000 0.0000 0.0000
Co: 0.2068 0.1991 0.3969
Co: 0.7066 0.7073 0.8791
Rh: 0.5067 0.5068 0.4803
O: 0.1098 0.7780 0.7048
O: 0.3023 0.5853 0.2126
O: 0.4066 0.1094 0.7034
O: 0.5856 0.8981 0.2114
O: 0.7800 0.4090 0.7039
O: 0.8968 0.3009 0.2149

Computed properties:
Total energy, eV/atom: -7.4476

---

A relaxed PaCoRh2O8 crystal. Source: Alexandria, functional PBE with a Hubbard U.

Lattice parameters (Å, degrees): 5.9365 5.9365 5.9365 108.66 108.66 111.11
Fractional coordinates of all 12 atoms:
Pa: 0.0000 0.0000 0.0000
Co: 0.2500 0.7500 0.5000
Rh: 0.5000 0.5000 0.0000
Rh: 0.7500 0.2500 0.5000
O: 0.2909 0.1077 0.8168
O: 0.2909 0.4741 0.1832
O: 0.3587 0.0381 0.3206
O: 0.5259 0.7091 0.8168
O: 0.7175 0.0381 0.6794
O: 0.8923 0.7091 0.1832
O: 0.9619 0.2825 0.3206
O: 0.9619 0.6413 0.6794

Computed properties:
Total energy, eV/atom: -6.9476

---

A relaxed PaCo2RuO8 crystal. Source: Alexandria, functional PBE with a Hubbard U.

Lattice parameters (Å, degrees): 5.7547 5.7547 5.7547 109.10 109.10 110.21
Fractional coordinates of all 12 atoms:
Pa: 0.0000 0.0000 0.0000
Co: 0.5000 0.5000 0.0000
Co: 0.7500 0.2500 0.5000
Ru: 0.2500 0.7500 0.5000
O: 0.3066 0.1122 0.8056
O: 0.3066 0.5010 0.1944
O: 0.3457 0.0170 0.3287
O: 0.4990 0.6934 0.8056
O: 0.6883 0.0170 0.6713
O: 0.8878 0.6934 0.1944
O: 0.9830 0.3117 0.3287
O: 0.9830 0.6543 0.6713

Computed properties:
Total energy, eV/atom: -7.1239

---

A relaxed Pa3CoS2O6 crystal. Source: Alexandria, functional PBE with a Hubbard U.

Lattice parameters (Å, degrees): 6.9797 6.9797 6.0426 103.46 103.46 66.35
Fractional coordinates of all 12 atoms:
Pa: 0.0000 0.0000 0.0000
Pa: 0.0000 0.5000 0.5000
Pa: 0.5000 0.0000 0.5000
Co: 0.5000 0.5000 0.5000
S: 0.1642 0.1642 0.7434
S: 0.8358 0.8358 0.2566
O: 0.0890 0.6997 0.7842
O: 0.3003 0.9110 0.2158
O: 0.3347 0.3347 0.4403
O: 0.6653 0.6653 0.5597
O: 0.6997 0.0890 0.7842
O: 0.9110 0.3003 0.2158

Computed properties:
Total energy, eV/atom: -8.5956

---

A relaxed PaCo2SbO6 crystal. Source: Alexandria, functional PBE with a Hubbard U.

Lattice parameters (Å, degrees): 6.0571 6.0571 4.0789 90.00 90.00 90.00
Fractional coordinates of all 10 atoms:
Pa: 0.0000 0.0000 0.0000
Co: 0.0000 0.5000 0.0000
Co: 0.5000 0.0000 0.0000
Sb: 0.5000 0.5000 0.0000
O: 0.0000 0.0000 0.5000
O: 0.2643 0.2643 0.0000
O: 0.2643 0.7357 0.0000
O: 0.5000 0.5000 0.5000
O: 0.7357 0.2643 0.0000
O: 0.7357 0.7357 0.0000

Computed properties:
Total energy, eV/atom: -6.9556

---

A relaxed PaCo2SbO8 crystal. Source: Alexandria, functional PBE with a Hubbard U.

Lattice parameters (Å, degrees): 5.8296 5.8296 5.8296 108.75 108.75 110.93
Fractional coordinates of all 12 atoms:
Pa: 0.0000 0.0000 0.0000
Co: 0.2500 0.7500 0.5000
Co: 0.5000 0.5000 0.0000
Sb: 0.7500 0.2500 0.5000
O: 0.0463 0.3631 0.3167
O: 0.0463 0.7296 0.6833
O: 0.1085 0.3074 0.8011
O: 0.2704 0.9537 0.3167
O: 0.5063 0.3074 0.1989
O: 0.6369 0.9537 0.6833
O: 0.6926 0.4937 0.8011
O: 0.6926 0.8915 0.1989

Computed properties:
Total energy, eV/atom: -6.9480

---

A relaxed PaCoSbO6 crystal. Source: Alexandria, functional PBE with a Hubbard U.

Lattice parameters (Å, degrees): 5.5179 5.5179 8.9323 90.00 90.00 120.00
Fractional coordinates of all 18 atoms:
Pa: 0.3333 0.6667 0.2500
Pa: 0.6667 0.3333 0.7500
Co: 0.0000 0.0000 0.0000
Co: 0.0000 0.0000 0.5000
Sb: 0.3333 0.6667 0.7500
Sb: 0.6667 0.3333 0.2500
O: 0.0245 0.3535 0.6293
O: 0.0245 0.6710 0.8707
O: 0.3290 0.3535 0.8707
O: 0.3290 0.9755 0.6293
O: 0.3535 0.0245 0.1293
O: 0.3535 0.3290 0.3707
O: 0.6465 0.6710 0.6293
O: 0.6465 0.9755 0.8707
O: 0.6710 0.0245 0.3707
O: 0.6710 0.6465 0.1293
O: 0.9755 0.3290 0.1293
O: 0.9755 0.6465 0.3707

Computed properties:
Total energy, eV/atom: -7.3946

---

A relaxed ScPaCo2O6 crystal. Source: Alexandria, functional PBE with a Hubbard U.

Lattice parameters (Å, degrees): 5.3868 5.3967 5.7645 62.38 62.79 60.23
Fractional coordinates of all 10 atoms:
Sc: 0.0000 0.0000 0.0000
Pa: 0.5014 0.4978 0.4996
Co: 0.2063 0.2059 0.3787
Co: 0.7139 0.7013 0.8813
O: 0.0901 0.4017 0.6958
O: 0.2930 0.9081 0.1981
O: 0.4067 0.8009 0.7033
O: 0.6040 0.2876 0.1983
O: 0.8112 0.0855 0.6964
O: 0.9069 0.6014 0.1927

Computed properties:
Total energy, eV/atom: -8.0949

---

A relaxed PaCoSe2O8 crystal. Source: Alexandria, functional PBE with a Hubbard U.

Lattice parameters (Å, degrees): 6.6999 6.6999 6.6999 134.85 134.85 65.77
Fractional coordinates of all 12 atoms:
Pa: 0.0000 0.0000 0.0000
Co: 0.2500 0.7500 0.5000
Se: 0.5000 0.5000 0.0000
Se: 0.7500 0.2500 0.5000
O: 0.0031 0.0826 0.4320
O: 0.2474 0.7116 0.1117
O: 0.2884 0.4000 0.5358
O: 0.4289 0.9969 0.0796
O: 0.6000 0.1357 0.8883
O: 0.6507 0.5711 0.5680
O: 0.8643 0.7526 0.4642
O: 0.9174 0.3493 0.9204

Computed properties:
Total energy, eV/atom: -6.3491

---

A relaxed PaCo2SeO8 crystal. Source: Alexandria, functional PBE with a Hubbard U.

Lattice parameters (Å, degrees): 5.8349 5.8349 5.8349 108.17 108.17 112.11
Fractional coordinates of all 12 atoms:
Pa: 0.0000 0.0000 0.0000
Co: 0.2500 0.7500 0.5000
Co: 0.5000 0.5000 0.0000
Se: 0.7500 0.2500 0.5000
O: 0.0491 0.3629 0.3138
O: 0.0491 0.7353 0.6862
O: 0.1193 0.3134 0.8059
O: 0.2647 0.9509 0.3138
O: 0.5075 0.3134 0.1941
O: 0.6371 0.9509 0.6862
O: 0.6866 0.4925 0.8059
O: 0.6866 0.8807 0.1941

Computed properties:
Total energy, eV/atom: -6.5450

---

A relaxed PaCoSiO6 crystal. Source: Alexandria, functional PBE with a Hubbard U.

Lattice parameters (Å, degrees): 5.2795 5.2795 8.4118 90.00 90.00 120.00
Fractional coordinates of all 18 atoms:
Pa: 0.3333 0.6667 0.2500
Pa: 0.6667 0.3333 0.7500
Co: 0.0000 0.0000 0.0000
Co: 0.0000 0.0000 0.5000
Si: 0.3333 0.6667 0.7500
Si: 0.6667 0.3333 0.2500
O: 0.0554 0.3738 0.6317
O: 0.0554 0.6815 0.8683
O: 0.3185 0.3738 0.8683
O: 0.3185 0.9446 0.6317
O: 0.3738 0.0554 0.1317
O: 0.3738 0.3185 0.3683
O: 0.6262 0.6815 0.6317
O: 0.6262 0.9446 0.8683
O: 0.6815 0.0554 0.3683
O: 0.6815 0.6262 0.1317
O: 0.9446 0.3185 0.1317
O: 0.9446 0.6262 0.3683

Computed properties:
Total energy, eV/atom: -7.7832

---

A relaxed PaCoSi2O8 crystal. Source: Alexandria, functional PBE with a Hubbard U.

Lattice parameters (Å, degrees): 5.6855 5.6855 5.6855 106.71 106.71 115.14
Fractional coordinates of all 12 atoms:
Pa: 0.0000 0.0000 0.0000
Co: 0.2500 0.7500 0.5000
Si: 0.5000 0.5000 0.0000
Si: 0.7500 0.2500 0.5000
O: 0.3241 0.1390 0.8149
O: 0.3241 0.5092 0.1851
O: 0.3914 0.0698 0.3217
O: 0.4908 0.6759 0.8149
O: 0.7481 0.0698 0.6783
O: 0.8610 0.6759 0.1851
O: 0.9302 0.2519 0.3217
O: 0.9302 0.6086 0.6783

Computed properties:
Total energy, eV/atom: -7.8879

---

A relaxed SmPaCoO6 crystal. Source: Alexandria, functional PBE with a Hubbard U.

Lattice parameters (Å, degrees): 5.3355 5.3355 4.8288 90.00 90.00 120.00
Fractional coordinates of all 9 atoms:
Sm: 0.0000 0.0000 0.0000
Pa: 0.6667 0.3333 0.5000
Co: 0.3333 0.6667 0.0000
O: 0.0244 0.3869 0.2345
O: 0.0244 0.6376 0.7655
O: 0.3624 0.3869 0.7655
O: 0.3624 0.9756 0.2345
O: 0.6131 0.6376 0.2345
O: 0.6131 0.9756 0.7655

Computed properties:
Total energy, eV/atom: -7.8798

---

A relaxed SmPaCo2O8 crystal. Source: Alexandria, functional PBE with a Hubbard U.

Lattice parameters (Å, degrees): 6.0287 6.0287 6.0287 106.62 106.62 115.34
Fractional coordinates of all 12 atoms:
Sm: 0.0000 0.0000 0.0000
Pa: 0.2500 0.7500 0.5000
Co: 0.5000 0.5000 0.0000
Co: 0.7500 0.2500 0.5000
O: 0.3228 0.1307 0.8078
O: 0.3228 0.5150 0.1922
O: 0.3784 0.0567 0.3216
O: 0.4850 0.6772 0.8078
O: 0.7351 0.0567 0.6784
O: 0.8693 0.6772 0.1922
O: 0.9433 0.2649 0.3216
O: 0.9433 0.6216 0.6784

Computed properties:
Total energy, eV/atom: -7.4245

---

A relaxed PaCoSnO6 crystal. Source: Alexandria, functional PBE with a Hubbard U.

Lattice parameters (Å, degrees): 5.5046 5.5046 8.8377 90.00 90.00 120.00
Fractional coordinates of all 18 atoms:
Pa: 0.3333 0.6667 0.2500
Pa: 0.6667 0.3333 0.7500
Co: 0.0000 0.0000 0.0000
Co: 0.0000 0.0000 0.5000
Sn: 0.3333 0.6667 0.7500
Sn: 0.6667 0.3333 0.2500
O: 0.0104 0.3351 0.6254
O: 0.0104 0.6754 0.8746
O: 0.3246 0.3351 0.8746
O: 0.3246 0.9896 0.6254
O: 0.3351 0.0104 0.1254
O: 0.3351 0.3246 0.3746
O: 0.6649 0.6754 0.6254
O: 0.6649 0.9896 0.8746
O: 0.6754 0.0104 0.3746
O: 0.6754 0.6649 0.1254
O: 0.9896 0.3246 0.1254
O: 0.9896 0.6649 0.3746

Computed properties:
Total energy, eV/atom: -7.2730

---

A relaxed Pa2CoSnO8 crystal. Source: Alexandria, functional PBE with a Hubbard U.

Lattice parameters (Å, degrees): 4.8603 4.8603 7.0633 90.00 90.00 90.90
Fractional coordinates of all 12 atoms:
Pa: 0.0000 0.0000 0.2464
Pa: 0.0000 0.0000 0.7536
Co: 0.5000 0.5000 0.0000
Sn: 0.5000 0.5000 0.5000
O: 0.1945 0.1945 0.5000
O: 0.1964 0.1964 0.0000
O: 0.3083 0.6917 0.2661
O: 0.3083 0.6917 0.7339
O: 0.6917 0.3083 0.2661
O: 0.6917 0.3083 0.7339
O: 0.8036 0.8036 0.0000
O: 0.8055 0.8055 0.5000

Computed properties:
Total energy, eV/atom: -8.2736

---

A relaxed PaCo2SnO8 crystal. Source: Alexandria, functional PBE with a Hubbard U.

Lattice parameters (Å, degrees): 5.8688 5.8688 5.8688 108.04 108.04 112.37
Fractional coordinates of all 12 atoms:
Pa: 0.0000 0.0000 0.0000
Co: 0.5000 0.5000 0.0000
Co: 0.7500 0.2500 0.5000
Sn: 0.2500 0.7500 0.5000
O: 0.3148 0.1225 0.8077
O: 0.3148 0.5071 0.1923
O: 0.3617 0.0495 0.3123
O: 0.4929 0.6852 0.8077
O: 0.7372 0.0495 0.6877
O: 0.8775 0.6852 0.1923
O: 0.9505 0.2628 0.3123
O: 0.9505 0.6383 0.6877

Computed properties:
Total energy, eV/atom: -6.9314